Record 1
## TbTm5Ru3 (PBE-GGA)

Data for a relaxed TbTm5Ru3 crystal.

Cell: 7.538 7.538 9.847 Å, 108.11 108.11 72.34°
Sites, in units of the cell vectors:
Tb  0.105  0.105  0.301
Tb  0.895  0.895  0.699
Tm  0.035  0.637  0.330
Tm  0.233  0.233  0.033
Tm  0.302  0.698  0.000
Tm  0.363  0.965  0.670
Tm  0.429  0.429  0.630
Tm  0.571  0.571  0.370
Tm  0.637  0.035  0.330
Tm  0.698  0.302  0.000
Tm  0.767  0.767  0.967
Tm  0.965  0.363  0.670
Ru  0.000  0.000  0.000
Ru  0.000  0.000  0.500
Ru  0.332  0.332  0.832
Ru  0.338  0.338  0.330
Ru  0.662  0.662  0.670
Ru  0.668  0.668  0.168

Properties
Formation energy: -236 meV/atom
Symmetry: C2/m (12)
N(E_F): 5.12 states/eV per cell
Magnetic moment: 0.0 μB per cell

---

Record 2
## K3Ga2Au (PBE-GGA)

Data for a relaxed K3Ga2Au crystal.

Cell: 8.814 8.814 14.359 Å, 121.72 121.72 28.90°
Sites, in units of the cell vectors:
K  0.113  0.113  0.238
K  0.134  0.134  0.550
K  0.347  0.347  0.995
K  0.653  0.653  0.005
K  0.866  0.866  0.450
K  0.887  0.887  0.762
Ga  0.103  0.103  0.765
Ga  0.500  0.500  0.317
Ga  0.500  0.500  0.683
Ga  0.897  0.897  0.235
Au  0.308  0.308  0.219
Au  0.692  0.692  0.781

Properties
Formation energy: -128 meV/atom
Symmetry: C2/m (12)
N(E_F): 4.81 states/eV per cell
Magnetic moment: 0.0 μB per cell

---

Record 3
## RbBiBr2F (PBE-GGA)

Data for a relaxed RbBiBr2F crystal.

Cell: 6.133 6.133 4.619 Å, 90.00 90.00 90.00°
Sites, in units of the cell vectors:
Rb  0.000  0.000  0.000
Bi  0.500  0.500  0.500
Br  0.000  0.500  0.500
Br  0.500  0.000  0.500
F  0.500  0.500  0.000

Properties
Symmetry: P4/mmm (123)
N(E_F): 2.65 states/eV per cell
Magnetic moment: 0.4 μB per cell
Raw formation energy: -1.386 eV/atom

---

Record 4
## InCuP2 (PBE-GGA)

Data for a relaxed InCuP2 crystal.

Cell: 5.545 5.545 5.545 Å, 139.56 126.09 69.50°
Sites, in units of the cell vectors:
In  0.000  0.000  0.000
Cu  0.500  0.500  0.000
P  0.364  0.864  0.500
P  0.636  0.136  0.500

Properties
Formation energy: 319 meV/atom
Symmetry: Immm (71)
N(E_F): 2.02 states/eV per cell
Magnetic moment: 0.0 μB per cell

---

Record 5
## CsCaTl2Ni (PBE-GGA)

Data for a relaxed CsCaTl2Ni crystal.

Cell: 5.338 5.338 5.511 Å, 90.00 90.00 90.00°
Sites, in units of the cell vectors:
Cs  0.000  0.000  0.000
Ca  0.500  0.500  0.000
Tl  0.000  0.500  0.500
Tl  0.500  0.000  0.500
Ni  0.500  0.500  0.500

Properties
Formation energy: 19 meV/atom
Symmetry: P4/mmm (123)
N(E_F): 3.32 states/eV per cell
Magnetic moment: 0.0 μB per cell

---

Record 6
## TiPb (PBE-GGA)

Data for a relaxed TiPb crystal.

Cell: 8.981 8.217 5.276 Å, 80.24 64.38 35.38°
Sites, in units of the cell vectors:
Ti  0.041  0.041  0.209
Ti  0.209  0.209  0.041
Ti  0.791  0.791  0.959
Ti  0.959  0.959  0.791
Pb  0.205  0.545  0.205
Pb  0.455  0.795  0.455
Pb  0.545  0.205  0.545
Pb  0.795  0.455  0.795

Properties
Formation energy: 411 meV/atom
Symmetry: Fddd (70)
N(E_F): 7.93 states/eV per cell
Magnetic moment: 4.9 μB per cell

---

Record 7
## BaNb2TcS (PBE-GGA)

Data for a relaxed BaNb2TcS crystal.

Cell: 4.809 4.809 4.614 Å, 90.00 90.00 90.00°
Sites, in units of the cell vectors:
Ba  0.000  0.000  0.000
Nb  0.000  0.500  0.500
Nb  0.500  0.000  0.500
Tc  0.500  0.500  0.000
S  0.500  0.500  0.500

Properties
Symmetry: P4/mmm (123)
N(E_F): 7.03 states/eV per cell
Magnetic moment: 0.0 μB per cell
Raw formation energy: 0.483 eV/atom

---

Record 8
## CdCo2W (PBE-GGA)

Data for a relaxed CdCo2W crystal.

Cell: 2.999 3.027 6.366 Å, 90.00 90.00 90.00°
Sites, in units of the cell vectors:
Cd  0.000  0.000  0.000
Co  0.500  0.500  0.285
Co  0.500  0.500  0.715
W  0.000  0.000  0.500

Properties
Formation energy: 179 meV/atom
Symmetry: Pmmm (47)
N(E_F): 2.86 states/eV per cell
Magnetic moment: 2.0 μB per cell

---

Record 9
## CaLaSCl2 (PBE-GGA)

Data for a relaxed CaLaSCl2 crystal.

Cell: 5.588 5.588 5.533 Å, 90.00 90.00 90.00°
Sites, in units of the cell vectors:
Ca  0.000  0.000  0.000
La  0.500  0.500  0.500
S  0.500  0.500  0.000
Cl  0.000  0.500  0.500
Cl  0.500  0.000  0.500

Properties
Symmetry: P4/mmm (123)
N(E_F): 2.67 states/eV per cell
Magnetic moment: 0.4 μB per cell
Raw formation energy: -1.577 eV/atom

---

Record 10
## Zn2AgOs (PBE-GGA)

Data for a relaxed Zn2AgOs crystal.

Cell: 3.079 3.079 6.319 Å, 90.00 90.00 90.00°
Sites, in units of the cell vectors:
Zn  0.000  0.000  0.000
Zn  0.500  0.500  0.236
Ag  0.000  0.000  0.491
Os  0.500  0.500  0.783

Properties
Formation energy: 390 meV/atom
Symmetry: P4mm (99)
N(E_F): 1.78 states/eV per cell
Magnetic moment: 0.0 μB per cell

---

Record 11
## CrGa2Co2 (PBE-GGA)

Data for a relaxed CrGa2Co2 crystal.

Cell: 6.861 6.861 2.759 Å, 90.00 90.00 90.00°
Sites, in units of the cell vectors:
Cr  0.000  0.000  0.000
Cr  0.500  0.500  0.000
Ga  0.138  0.362  0.000
Ga  0.362  0.862  0.000
Ga  0.638  0.138  0.000
Ga  0.862  0.638  0.000
Co  0.161  0.661  0.500
Co  0.339  0.161  0.500
Co  0.661  0.839  0.500
Co  0.839  0.339  0.500

Properties
Formation energy: -4 meV/atom
Symmetry: P4/mbm (127)
N(E_F): 12.90 states/eV per cell
Magnetic moment: 8.1 μB per cell

---

Record 12
## RbPaPN4 (PBE-GGA)

Data for a relaxed RbPaPN4 crystal.

Cell: 5.677 5.447 8.029 Å, 90.00 106.60 90.00°
Sites, in units of the cell vectors:
Rb  0.210  0.250  0.434
Rb  0.790  0.750  0.566
Pa  0.259  0.250  0.947
Pa  0.741  0.750  0.053
P  0.264  0.750  0.155
P  0.736  0.250  0.845
N  0.078  0.750  0.952
N  0.081  0.750  0.279
N  0.454  0.516  0.167
N  0.454  0.984  0.167
N  0.546  0.016  0.833
N  0.546  0.484  0.833
N  0.919  0.250  0.721
N  0.922  0.250  0.048

Properties
Symmetry: P2_1/m (11)
N(E_F): 11.32 states/eV per cell
Magnetic moment: 0.0 μB per cell
Raw formation energy: -0.709 eV/atom

---

Record 13
## LaAgAs2 (PBE-GGA)

Data for a relaxed LaAgAs2 crystal.

Cell: 5.893 21.393 5.868 Å, 90.00 90.00 90.00°
Sites, in units of the cell vectors:
La  0.012  0.115  0.250
La  0.012  0.385  0.750
La  0.486  0.619  0.750
La  0.486  0.881  0.250
La  0.514  0.119  0.750
La  0.514  0.381  0.250
La  0.988  0.615  0.250
La  0.988  0.885  0.750
Ag  0.234  0.750  0.000
Ag  0.234  0.750  0.500
Ag  0.263  0.250  0.000
Ag  0.263  0.250  0.500
Ag  0.737  0.750  0.000
Ag  0.737  0.750  0.500
Ag  0.766  0.250  0.000
Ag  0.766  0.250  0.500
As  0.014  0.163  0.750
As  0.014  0.337  0.250
As  0.281  0.001  0.534
As  0.281  0.001  0.966
As  0.281  0.499  0.034
As  0.281  0.499  0.466
As  0.487  0.663  0.250
As  0.487  0.837  0.750
As  0.513  0.163  0.250
As  0.513  0.337  0.750
As  0.719  0.501  0.534
As  0.719  0.501  0.966
As  0.719  0.999  0.034
As  0.719  0.999  0.466
As  0.986  0.663  0.750
As  0.986  0.837  0.250

Properties
Formation energy: -832 meV/atom
Symmetry: Pbcm (57)
N(E_F): 4.01 states/eV per cell
Magnetic moment: 0.0 μB per cell

---

Record 14
## KPtAu (PBE-GGA)

Data for a relaxed KPtAu crystal.

Cell: 5.662 5.662 5.662 Å, 120.93 118.24 90.73°
Sites, in units of the cell vectors:
K  0.373  0.123  0.250
K  0.627  0.877  0.750
Pt  0.000  0.000  0.500
Pt  0.000  0.500  0.000
Au  0.000  0.500  0.500
Au  0.500  0.500  0.000

Properties
Formation energy: -252 meV/atom
Symmetry: Imma (74)
N(E_F): 1.64 states/eV per cell
Magnetic moment: 0.0 μB per cell

---

Record 15
## LiCr2Pt2 (PBE-GGA)

Data for a relaxed LiCr2Pt2 crystal.

Cell: 7.531 7.531 2.789 Å, 90.00 90.00 90.00°
Sites, in units of the cell vectors:
Li  0.000  0.000  0.000
Li  0.500  0.500  0.000
Cr  0.153  0.347  0.500
Cr  0.347  0.847  0.500
Cr  0.653  0.153  0.500
Cr  0.847  0.653  0.500
Pt  0.144  0.644  0.000
Pt  0.356  0.144  0.000
Pt  0.644  0.856  0.000
Pt  0.856  0.356  0.000

Properties
Formation energy: -76 meV/atom
Symmetry: P4/mbm (127)
N(E_F): 12.40 states/eV per cell
Magnetic moment: 11.5 μB per cell

---

Record 16
## VTc4W3 (PBE-GGA)

Data for a relaxed VTc4W3 crystal.

Cell: 3.107 3.107 12.460 Å, 90.00 90.00 90.00°
Sites, in units of the cell vectors:
V  0.000  0.000  0.000
Tc  0.500  0.500  0.119
Tc  0.500  0.500  0.374
Tc  0.500  0.500  0.626
Tc  0.500  0.500  0.881
W  0.000  0.000  0.244
W  0.000  0.000  0.500
W  0.000  0.000  0.756

Properties
Formation energy: -60 meV/atom
Symmetry: P4/mmm (123)
N(E_F): 4.02 states/eV per cell
Magnetic moment: 0.0 μB per cell

---

Record 17
## HfUWC3 (PBE-GGA)

Data for a relaxed HfUWC3 crystal.

Cell: 6.992 3.205 7.905 Å, 90.00 95.25 90.00°
Sites, in units of the cell vectors:
Hf  0.132  0.250  0.137
Hf  0.868  0.750  0.863
U  0.350  0.750  0.824
U  0.650  0.250  0.176
W  0.366  0.750  0.413
W  0.634  0.250  0.587
C  0.102  0.250  0.857
C  0.325  0.250  0.574
C  0.372  0.750  0.137
C  0.628  0.250  0.863
C  0.675  0.750  0.426
C  0.898  0.750  0.143

Properties
Formation energy: -41 meV/atom
Symmetry: P2_1/m (11)
N(E_F): 8.88 states/eV per cell
Magnetic moment: 0.0 μB per cell

---

Record 18
## ScInHPt2 (PBE-GGA)

Data for a relaxed ScInHPt2 crystal.

Cell: 4.184 4.184 4.221 Å, 90.00 90.00 90.00°
Sites, in units of the cell vectors:
Sc  0.000  0.000  0.000
In  0.500  0.500  0.000
H  0.000  0.000  0.500
Pt  0.000  0.500  0.500
Pt  0.500  0.000  0.500

Properties
Symmetry: P4/mmm (123)
N(E_F): 3.75 states/eV per cell
Magnetic moment: 0.0 μB per cell
Total energy: -26.98 eV for the cell shown

---

Record 19
## Ac2Al2Si (PBE-GGA)

Data for a relaxed Ac2Al2Si crystal.

Cell: 9.775 9.775 9.775 Å, 156.92 156.92 32.87°
Sites, in units of the cell vectors:
Ac  0.093  0.093  0.000
Ac  0.907  0.907  0.000
Al  0.250  0.750  0.500
Al  0.750  0.250  0.500
Si  0.500  0.500  0.000

Properties
Symmetry: I4/mmm (139)
N(E_F): 4.18 states/eV per cell
Magnetic moment: 0.0 μB per cell
Raw formation energy: -0.155 eV/atom

---

Record 20
## SbPtF3 (PBE-GGA)

Data for a relaxed SbPtF3 crystal.

Cell: 4.447 4.447 4.447 Å, 90.00 90.00 90.00°
Sites, in units of the cell vectors:
Sb  0.000  0.000  0.000
Pt  0.500  0.500  0.500
F  0.000  0.000  0.500
F  0.000  0.500  0.000
F  0.500  0.000  0.000

Properties
Symmetry: Pm-3m (221)
N(E_F): 3.57 states/eV per cell
Magnetic moment: 0.2 μB per cell
Raw formation energy: -0.812 eV/atom

---

Table of calculated volume (Å³ per cell), in record order: 492.1 452.7 173.8 87.8 157.0 190.3 106.7 57.8 172.8 59.9 129.9 237.9 739.7 129.1 158.2 120.3 176.4 73.9 143.4 88.0